(1)
CaScCl2 | PBE-GGA | relaxed

Lattice parameters (Å, degrees): 4.8893 4.8893 3.4115 90.00 90.00 90.00
Space group P4/mmm (No. 123)
Inequivalent atoms, fractional coordinates:
Ca  0.0000  0.0000  0.0000 x1
Sc  0.5000  0.5000  0.0000 x1
Cl  0.0000  0.5000  0.5000 x2

Properties
E_form (uncorrected) ... -0.9398 eV per atom
Offset from the most stable computed form ... 463.0 meV per atom
Electronic total energy ... -15.79 eV per cell

***

(2)
CaScCl2 | PBE-GGA | relaxed

Lattice parameters (Å, degrees): 4.8846 4.8968 8.8299 90.00 90.00 90.00
Space group Cmm2 (No. 35)
Inequivalent atoms, fractional coordinates:
Ca  0.0000  0.0000  0.0000 x2
Sc  0.0000  0.5000  0.6823 x2
Cl  0.0000  0.0000  0.5428 x2
Cl  0.0000  0.5000  0.1616 x2

Properties
E_form (uncorrected) ... -1.4028 eV per atom
Offset from the most stable computed form ... 0.0 meV per atom
Electronic total energy ... -35.27 eV per cell

***

(3)
Ca2ScCl | PBE-GGA | relaxed

Lattice parameters (Å, degrees): 8.0556 8.0556 8.0556 90.00 90.00 90.00
Space group F-43m (No. 216)
Inequivalent atoms, fractional coordinates:
Ca  0.0000  0.0000  0.0000 x4
Ca  0.2500  0.2500  0.2500 x4
Sc  0.2500  0.2500  0.7500 x4
Cl  0.0000  0.0000  0.5000 x4

Properties
E_form (uncorrected) ... 0.0840 eV per atom
Offset from the most stable computed form ... 782.6 meV per atom
Electronic total energy ... -47.38 eV per cell

***

(4)
Ca2ScCl | PBE-GGA | relaxed

Lattice parameters (Å, degrees): 4.8389 4.8389 10.7333 90.00 90.00 90.00
Space group I4/mmm (No. 139)
Inequivalent atoms, fractional coordinates:
Ca  0.0000  0.5000  0.2500 x4
Sc  0.0000  0.0000  0.0000 x2
Cl  0.0000  0.0000  0.5000 x2

Properties
E_form (uncorrected) ... -0.0584 eV per atom
Offset from the most stable computed form ... 640.1 meV per atom
Electronic total energy ... -24.83 eV per cell

***

(5)
CaScCl2 | PBE-GGA | relaxed

Lattice parameters (Å, degrees): 3.3053 3.3053 9.8921 90.00 90.00 90.00
Space group P4/mmm (No. 123)
Inequivalent atoms, fractional coordinates:
Ca  0.0000  0.0000  0.0000 x1
Sc  0.0000  0.0000  0.5000 x1
Cl  0.5000  0.5000  0.3461 x2

Properties
E_form (uncorrected) ... -1.0642 eV per atom
Offset from the most stable computed form ... 338.6 meV per atom
Electronic total energy ... -16.28 eV per cell

***

(6)
Ca2ScCl | PBE-GGA | relaxed

Lattice parameters (Å, degrees): 3.7170 3.5440 9.5174 90.00 90.08 90.00
Space group P2/m (No. 10)
Inequivalent atoms, fractional coordinates:
Ca  0.0007  0.0000  0.2627 x2
Sc  0.5000  0.5000  0.0000 x1
Cl  0.0000  0.5000  0.5000 x1

Properties
E_form (uncorrected) ... -0.6653 eV per atom
Offset from the most stable computed form ... 33.3 meV per atom
Electronic total energy ... -14.84 eV per cell

***

(7)
Ca2ScCl | PBE-GGA | relaxed

Lattice parameters (Å, degrees): 8.2969 8.4081 3.5770 90.00 90.00 90.00
Space group Cmmm (No. 65)
Inequivalent atoms, fractional coordinates:
Ca  0.2500  0.2500  0.0000 x4
Sc  0.0000  0.0000  0.5000 x2
Cl  0.0000  0.5000  0.5000 x2

Properties
E_form (uncorrected) ... -0.3189 eV per atom
Offset from the most stable computed form ... 379.7 meV per atom
Electronic total energy ... -26.91 eV per cell

***

(8)
Ca2ScCl | PBE-GGA | relaxed

Lattice parameters (Å, degrees): 3.4982 3.4982 9.3726 90.00 90.00 90.00
Space group P4/mmm (No. 123)
Inequivalent atoms, fractional coordinates:
Ca  0.0000  0.0000  0.2280 x2
Sc  0.5000  0.5000  0.5000 x1
Cl  0.5000  0.5000  0.0000 x1

Properties
E_form (uncorrected) ... -0.6139 eV per atom
Offset from the most stable computed form ... 84.6 meV per atom
Electronic total energy ... -14.64 eV per cell

***

(9)
CaScCl2 | PBE-GGA | relaxed

Lattice parameters (Å, degrees): 8.5203 3.5046 6.1161 90.00 104.59 90.00
Space group C2/m (No. 12)
Inequivalent atoms, fractional coordinates:
Ca  0.0000  0.0000  0.0000 x2
Sc  0.0000  0.5000  0.5000 x2
Cl  0.2371  0.0000  0.7247 x4

Properties
E_form (uncorrected) ... -1.1817 eV per atom
Offset from the most stable computed form ... 221.1 meV per atom
Electronic total energy ... -33.51 eV per cell

***

(10)
CaScCl2 | PBE-GGA | relaxed

Lattice parameters (Å, degrees): 3.7592 3.7592 25.9488 90.00 90.00 120.00
Space group R-3m (No. 166, hexagonal axes)
Inequivalent atoms, fractional coordinates:
Ca  0.0000  0.0000  0.0000 x3
Sc  0.0000  0.0000  0.5000 x3
Cl  0.0000  0.0000  0.3970 x6

Properties
E_form (uncorrected) ... -1.2753 eV per atom
Offset from the most stable computed form ... 127.4 meV per atom
Electronic total energy ... -51.38 eV per cell

***

(11)
CaSc4Cl | PBE-GGA | relaxed

Lattice parameters (Å, degrees): 8.8817 8.8817 8.8817 90.00 90.00 90.00
Space group F-43m (No. 216)
Inequivalent atoms, fractional coordinates:
Ca  0.0000  0.0000  0.0000 x4
Sc  0.1279  0.1279  0.3721 x16
Cl  0.2500  0.2500  0.7500 x4

Properties
E_form (uncorrected) ... 0.2777 eV per atom
Electronic total energy ... -110.03 eV per cell

***

(12)
Ca2ScCl | PBE-GGA | relaxed

Lattice parameters (Å, degrees): 3.6658 3.6658 29.6995 90.00 90.00 120.00
Space group R3m (No. 160, hexagonal axes)
Inequivalent atoms, fractional coordinates:
Ca  0.0000  0.0000  0.0000 x3
Ca  0.0000  0.0000  0.2257 x3
Sc  0.0000  0.0000  0.7599 x3
Cl  0.0000  0.0000  0.4880 x3

Properties
E_form (uncorrected) ... -0.5876 eV per atom
Offset from the most stable computed form ... 111.0 meV per atom
Electronic total energy ... -43.59 eV per cell

***

Copy entry 5 word for word.
CaScCl2 | PBE-GGA | relaxed

Lattice parameters (Å, degrees): 3.3053 3.3053 9.8921 90.00 90.00 90.00
Space group P4/mmm (No. 123)
Inequivalent atoms, fractional coordinates:
Ca  0.0000  0.0000  0.0000 x1
Sc  0.0000  0.0000  0.5000 x1
Cl  0.5000  0.5000  0.3461 x2

Properties
E_form (uncorrected) ... -1.0642 eV per atom
Offset from the most stable computed form ... 338.6 meV per atom
Electronic total energy ... -16.28 eV per cell

***

Question: The lowest electronic total energy belongs to which entry?
Answer: CaSc4Cl